Computed, not measured: a relaxed Na2SnBiO4 crystal at the PBE-GGA level of DFT.

Properties
raw formation energy: -1.37 eV/atom
V: 129.3 Å³/f.u.
symmetry: Pmn2_1 (31)
Fermi-level density of states: 2.7 states/eV/f.u.

a = 8.7346 Å, b = 5.8811 Å, c = 5.0339 Å
α = 90.00°, β = 90.00°, γ = 90.00°
Element x y z (fractional)
Na1 0.2482 0.2013 0.0000
Na2 0.2518 0.7987 0.5000
Na3 0.7482 0.7987 0.5000
Na4 0.7518 0.2013 0.0000
Sn1 0.0000 0.2891 0.5139
Sn2 0.5000 0.7109 0.0139
Bi1 0.0000 0.7186 0.0097
Bi2 0.5000 0.2814 0.5097
O1 0.0000 0.3582 0.9286
O2 0.0000 0.6386 0.4358
O3 0.2385 0.2155 0.4882
O4 0.2615 0.7845 0.9882
O5 0.5000 0.3614 0.9358
O6 0.5000 0.6418 0.4286
O7 0.7385 0.7845 0.9882
O8 0.7615 0.2155 0.4882

***

Computed, not measured: a relaxed NaSrSnBiO6 crystal at the PBE-GGA level of DFT.

Properties
raw formation energy: -1.56 eV/atom
V: 144.6 Å³/f.u.
symmetry: F-43m (216)
Fermi-level density of states: 4.3 states/eV/f.u.

a = 5.8914 Å, b = 5.8914 Å, c = 5.8914 Å
α = 60.00°, β = 60.00°, γ = 60.00°
Element x y z (fractional)
Na1 0.0000 0.0000 0.0000
Sr1 0.5000 0.5000 0.5000
Sn1 0.7500 0.7500 0.7500
Bi1 0.2500 0.2500 0.2500
O1 0.5032 0.5032 0.9968
O2 0.5032 0.9968 0.5032
O3 0.5032 0.9968 0.9968
O4 0.9968 0.5032 0.5032
O5 0.9968 0.5032 0.9968
O6 0.9968 0.9968 0.5032

***

Computed, not measured: a relaxed NaSr2BiO crystal at the PBE-GGA level of DFT.

Properties
raw formation energy: -1.50 eV/atom
V: 130.0 Å³/f.u.
symmetry: P4/mmm (123)
Fermi-level density of states: 0.0 states/eV/f.u.

a = 5.1552 Å, b = 5.1552 Å, c = 4.8915 Å
α = 90.00°, β = 90.00°, γ = 90.00°
Element x y z (fractional)
Na1 0.0000 0.0000 0.0000
Sr1 0.0000 0.5000 0.5000
Sr2 0.5000 0.0000 0.5000
Bi1 0.5000 0.5000 0.0000
O1 0.0000 0.0000 0.5000

***

Computed, not measured: a relaxed Na2SrBiO4 crystal at the PBE-GGA level of DFT.

Properties
raw formation energy: -1.66 eV/atom
V: 123.9 Å³/f.u.
symmetry: P2/m (10)
Fermi-level density of states: 3.2 states/eV/f.u.

a = 6.0391 Å, b = 3.5442 Å, c = 6.1627 Å
α = 90.00°, β = 110.05°, γ = 90.00°
Element x y z (fractional)
Na1 0.0000 0.0000 0.0000
Na2 0.0000 0.5000 0.5000
Sr1 0.5000 0.0000 0.5000
Bi1 0.5000 0.5000 0.0000
O1 0.2740 0.0000 0.7771
O2 0.2784 0.5000 0.2274
O3 0.7216 0.5000 0.7726
O4 0.7260 0.0000 0.2229